# Ba2ZnTcSe6 PBE-GGA optimized geometry
data_Ba2ZnTcSe6
_cell_length_a 7.178
_cell_length_b 7.178
_cell_length_c 10.165
_cell_angle_alpha 90.00
_cell_angle_beta 90.00
_cell_angle_gamma 90.00
_symmetry_space_group_name_H-M 'I 4/m'
_symmetry_Int_Tables_number 87
_symmetry_space_group_name_Hall '-I 4'
loop_
_atom_site_label
_atom_site_type_symbol
_atom_site_fract_x
_atom_site_fract_y
_atom_site_fract_z
Ba1 Ba 0.000 0.500 0.250
Zn1 Zn 0.000 0.000 0.000
Tc1 Tc 0.000 0.000 0.500
Se1 Se 0.000 0.000 0.252
Se2 Se 0.240 0.256 0.500
# Total energy   -4.423 eV per atom
# Magnetization   3.0 μB/cell